First-principles (PBE) data for a geometry-optimized ScBAs2 structure, as listed in the Alexandria database.

Cell and atoms, written as POSCAR:
```
ScBAs2
1.0
6.271 0.000 0.000
0.000 6.271 0.000
0.000 0.000 7.120
Sc B As
4 4 8
direct
0.000 0.000 0.000
0.000 0.500 0.250
0.500 0.000 0.750
0.500 0.500 0.500
0.000 0.000 0.500
0.000 0.500 0.750
0.500 0.000 0.250
0.500 0.500 0.000
0.167 0.250 0.625
0.250 0.667 0.875
0.250 0.833 0.375
0.333 0.250 0.125
0.667 0.750 0.125
0.750 0.167 0.375
0.750 0.333 0.875
0.833 0.750 0.625
```

Results
* symmetry: I-42d (122)
* E: -23.57 eV/f.u.
* calculated formation energy: -0.315 eV per atom